The following is a PBE calculation of an optimized crystal structure of TaBeCuIr, from Alexandria.

Geometry as POSCAR:
```
TaBeCuIr
1.0
4.2741 0.0000 0.0000
2.1371 3.7015 0.0000
2.1371 1.2338 3.4898
Ta Cu Ir Be
1 1 1 1
Direct
0.5000 0.5000 0.5000
0.2500 0.2500 0.2500
0.7500 0.7500 0.7500
0.0000 0.0000 0.0000
```

E_form = -0.2147 eV per atom
Uncorrected energy = -7.349 eV/atom